(1)
{"formula": "SiTcP2", "functional": "GGA-PBE", "state": "optimized geometry", "e_form_raw_ev_per_atom": 0.169, "dft_energy_ev_per_cell": -25.9, "rho_g_cm3": 5.736, "cell": [[4.710, 0.004, 0.002], [1.444, 4.483, -0.002], [-2.480, -3.062, 2.580]], "species": ["P", "P", "Tc", "Si"], "frac_coords": [[0.984, 0.984, 0.000], [0.754, 0.254, 0.500], [0.238, 0.738, 0.500], [0.525, 0.525, 0.000]]}



(2)
{"formula": "SiTcP", "functional": "GGA-PBE", "state": "optimized geometry", "e_form_raw_ev_per_atom": -0.214, "dft_energy_ev_per_cell": -87.4, "rho_g_cm3": 5.747, "relative_energy_mev_per_atom": 66, "cell": [[6.137, 0.000, 0.000], [0.000, 6.231, -1.073], [0.000, -2.818, 5.232]], "species": ["Tc", "P", "Si", "Si", "P", "Tc", "Tc", "Tc", "Si", "P", "Si", "P"], "frac_coords": [[0.453, 0.244, 0.709], [0.580, 0.659, 0.833], [0.324, 0.861, 0.722], [0.824, 0.139, 0.778], [0.080, 0.341, 0.667], [0.547, 0.756, 0.291], [0.047, 0.244, 0.209], [0.953, 0.756, 0.791], [0.676, 0.139, 0.278], [0.420, 0.341, 0.167], [0.176, 0.861, 0.222], [0.920, 0.659, 0.333]]}



(3)
{"formula": "SiTcP2", "functional": "GGA-PBE", "state": "optimized geometry", "e_form_raw_ev_per_atom": 0.329, "dft_energy_ev_per_cell": -25.3, "rho_g_cm3": 5.445, "cell": [[2.932, 0.009, 0.000], [-1.303, 2.627, 0.000], [0.000, 0.000, 7.433]], "species": ["Si", "P", "Tc", "P"], "frac_coords": [[0.000, 0.000, 0.494], [0.000, 0.000, 0.998], [0.500, 0.500, 0.754], [0.500, 0.500, 0.254]]}



(4)
{"formula": "SiTcP2", "functional": "GGA-PBE", "state": "optimized geometry", "e_form_raw_ev_per_atom": -0.029, "dft_energy_ev_per_cell": -26.7, "rho_g_cm3": 5.079, "cell": [[-1.657, -1.516, -2.058], [0.612, -2.617, 1.435], [-5.397, 0.798, 3.758]], "species": ["Si", "P", "P", "Tc"], "frac_coords": [[0.000, 0.000, 0.508], [0.500, 0.500, 0.336], [0.000, 0.000, 0.927], [0.500, 0.500, 0.730]]}